# 1
Below is an optimized crystal structure of Ba2Zn2AsPO, with properties calculated at the PBE level.

The structure belongs to space group Cm (No. 8); the cell edges are 12.226, 4.089 and 7.480 Å and the angles 90.00°, 122.45° and 90.00°. Symmetry generates all atoms from Ba at (0.000, 0.000, 0.000), Ba at (0.095, 0.000, 0.579), Zn at (0.239, 0.500, 0.361), Zn at (0.350, 0.000, 0.200), As at (0.360, 0.000, 0.565), P at (0.238, 0.500, 0.021) and O at (0.046, 0.500, 0.286).

The calculation puts the calculated total energy at -4.240 eV per atom.

# 2
Below is an optimized crystal structure of PrOsNO, with properties calculated at the PBE level.

The structure belongs to space group Pca2_1 (No. 29); the cell edges are 5.521, 8.912 and 4.766 Å and the angles 90.00°, 90.00° and 90.00°. Symmetry generates all atoms from Pr at (0.010, 0.164, 0.000), Os at (0.114, 0.507, 0.188), N at (0.127, 0.640, 0.848) and O at (0.082, 0.093, 0.505).

The value obtained for the relative energy among the computed polymorphs is 0.000 eV/f.u.

# 3
Below is an optimized crystal structure of Pr2Sc2CI2Cl3, with properties calculated at the PBE level.

The structure belongs to space group C2/m (No. 12); the cell edges are 19.050, 3.817 and 8.247 Å and the angles 90.00°, 99.84° and 90.00°. Symmetry generates all atoms from Pr at (0.000, 0.000, 0.215), Sc at (0.120, 0.500, 0.054), C at (0.000, 0.500, 0.000), I at (0.171, 0.000, 0.826), Cl at (0.000, 0.500, 0.500) and Cl at (0.152, 0.000, 0.272).

The value obtained for the relative energy among the computed polymorphs is 0.000 eV/f.u.

# 4
Below is an optimized crystal structure of PrAlGaAu2, with properties calculated at the PBE level.

The structure belongs to space group P4/nmm (No. 129, origin choice 2); the cell edges are 4.468, 4.468 and 10.456 Å and the angles 90.00°, 90.00° and 90.00°. Symmetry generates all atoms from Pr at (0.250, 0.250, 0.247), Al at (0.250, 0.250, 0.627), Ga at (0.250, 0.750, 0.000), Au at (0.250, 0.250, 0.866) and Au at (0.250, 0.750, 0.500).

The value obtained for the relative energy among the computed polymorphs is 0.024 eV/f.u.

no.,theoretical density (g/cm³)
1,5.55
2,10.23
3,4.18
4,10.05